Ce3Y2PuTe6 | PBE | relaxed

a b c (Å): 9.9432 9.9432 8.9552
angles (deg): 103.63 103.63 25.58
Last column: nearest neighbours and their distance in Å.
Sites, in units of the cell vectors:
Ce 0.0000 0.0000 0.0000  6 Te 3.17-3.19
Ce 0.3340 0.3340 0.6663  6 Te 3.17-3.19
Ce 0.6660 0.6660 0.3337  6 Te 3.17-3.19
Y 0.3346 0.3346 0.1681  6 Te 3.07-3.11
Y 0.6654 0.6654 0.8319  6 Te 3.07-3.11
Pu 0.0000 0.0000 0.5000  6 Te 3.11-3.12
Te 0.1658 0.1658 0.5899  2 Y 3.09, 1 Pu 3.12, 3 Ce 3.17-3.18
Te 0.1696 0.1696 0.0777  3 Y 3.10-3.11, 3 Ce 3.19
Te 0.4978 0.4978 0.2532  1 Y 3.07, 2 Pu 3.11, 3 Ce 3.17
Te 0.5022 0.5022 0.7468  1 Y 3.07, 2 Pu 3.11, 3 Ce 3.17
Te 0.8304 0.8304 0.9223  3 Y 3.10-3.11, 3 Ce 3.19
Te 0.8342 0.8342 0.4101  2 Y 3.09, 1 Pu 3.12, 3 Ce 3.17-3.18

Total DFT energy (no corrections)   -6.639 eV/atom
Formation energy without anion corrections   -1.31 eV/atom

CePu2Th | PBE | relaxed

a b c (Å): 7.7075 7.7075 7.7075
angles (deg): 90.00 90.00 90.00
Last column: nearest neighbours and their distance in Å.
Sites, in units of the cell vectors:
Ce 0.0000 0.0000 0.0000  8 Pu 3.34
Ce 0.0000 0.5000 0.5000  8 Pu 3.34
Ce 0.5000 0.0000 0.5000  8 Pu 3.34
Ce 0.5000 0.5000 0.0000  8 Pu 3.34
Pu 0.2500 0.2500 0.2500  4 Th 3.34, 4 Ce 3.34
Pu 0.2500 0.2500 0.7500  4 Th 3.34, 4 Ce 3.34
Pu 0.2500 0.7500 0.2500  4 Th 3.34, 4 Ce 3.34
Pu 0.2500 0.7500 0.7500  4 Th 3.34, 4 Ce 3.34
Pu 0.7500 0.2500 0.2500  4 Th 3.34, 4 Ce 3.34
Pu 0.7500 0.2500 0.7500  4 Th 3.34, 4 Ce 3.34
Pu 0.7500 0.7500 0.2500  4 Th 3.34, 4 Ce 3.34
Pu 0.7500 0.7500 0.7500  4 Th 3.34, 4 Ce 3.34
Th 0.0000 0.0000 0.5000  8 Pu 3.34
Th 0.0000 0.5000 0.0000  8 Pu 3.34
Th 0.5000 0.0000 0.0000  8 Pu 3.34
Th 0.5000 0.5000 0.5000  8 Pu 3.34

Total DFT energy (no corrections)   -10.295 eV/atom
Energy above the most stable polymorph in this dataset   0.057 eV per atom

CePu2Th | PBE | relaxed

a b c (Å): 3.4441 3.4441 32.4923
angles (deg): 90.00 90.00 120.00
Last column: nearest neighbours and their distance in Å.
Sites, in units of the cell vectors:
Ce 0.0000 0.0000 0.0000  6 Pu 3.30, 6 Ce 3.44
Ce 0.3333 0.6667 0.6667  6 Pu 3.30, 6 Ce 3.44
Ce 0.6667 0.3333 0.3333  6 Pu 3.30, 6 Ce 3.44
Pu 0.0000 0.0000 0.2522  3 Ce 3.30, 3 Th 3.42, 6 Pu 3.44
Pu 0.0000 0.0000 0.7478  3 Ce 3.30, 3 Th 3.42, 6 Pu 3.44
Pu 0.3333 0.6667 0.4145  3 Ce 3.30, 3 Th 3.42, 6 Pu 3.44
Pu 0.3333 0.6667 0.9188  3 Ce 3.30, 3 Th 3.42, 6 Pu 3.44
Pu 0.6667 0.3333 0.0812  3 Ce 3.30, 3 Th 3.42, 6 Pu 3.44
Pu 0.6667 0.3333 0.5855  3 Ce 3.30, 3 Th 3.42, 6 Pu 3.44
Th 0.0000 0.0000 0.5000  6 Pu 3.42, 6 Th 3.44
Th 0.3333 0.6667 0.1667  6 Pu 3.42, 6 Th 3.44
Th 0.6667 0.3333 0.8333  6 Pu 3.42, 6 Th 3.44

Total DFT energy (no corrections)   -10.327 eV/atom
Energy above the most stable polymorph in this dataset   0.025 eV per atom

CePu2Th | PBE | relaxed

a b c (Å): 4.8198 4.8198 4.7042
angles (deg): 90.00 90.00 90.00
Last column: nearest neighbours and their distance in Å.
Sites, in units of the cell vectors:
Ce 0.0000 0.0000 0.0000  8 Pu 3.37, 4 Th 3.41
Pu 0.0000 0.5000 0.5000  4 Th 3.37, 4 Ce 3.37, 4 Pu 3.41
Pu 0.5000 0.0000 0.5000  4 Th 3.37, 4 Ce 3.37, 4 Pu 3.41
Th 0.5000 0.5000 0.0000  8 Pu 3.37, 4 Ce 3.41

Total DFT energy (no corrections)   -10.352 eV/atom
Energy above the most stable polymorph in this dataset   0.000 eV per atom